1.
PBE with a Hubbard U Er2CrBiO6, optimized geometry; final energy = -7.2330 eV/atom; magnetization = 3.0 μB/cell; symmetry = P4mm (99)
1.0
5.3683 0.0000 0.0000
0.0000 5.3478 0.0000
0.0000 0.0000 5.3478
Er Cr Bi O
2 1 1 6
direct
0.9717 0.5000 0.0000 Er
0.9717 0.0000 0.5000 Er
0.6079 0.0000 0.0000 Cr
0.5400 0.5000 0.5000 Bi
0.7481 0.2404 0.2404 O
0.7481 0.2404 0.7596 O
0.1209 0.5000 0.5000 O
0.2424 0.0000 0.0000 O
0.7481 0.7596 0.7596 O
0.7481 0.7596 0.2404 O

---

2.
PBE with a Hubbard U SrEuCrBiO6, optimized geometry; final energy = -7.2563 eV/atom; magnetization = 10.0 μB/cell; symmetry = F-43m (216)
1.0
5.2039 -1.9698 1.6539
0.8374 -1.7465 5.4721
0.7322 -5.6390 1.1670
Sr Eu Cr Bi O
1 1 1 1 6
direct
0.7500 0.7500 0.7500 Sr
0.2500 0.2500 0.2500 Eu
0.5000 0.5000 0.5000 Cr
0.0000 0.0000 0.0000 Bi
0.2566 0.7434 0.2566 O
0.7434 0.2566 0.7434 O
0.2566 0.7434 0.7434 O
0.7434 0.2566 0.2566 O
0.2566 0.2566 0.7434 O
0.7434 0.7434 0.2566 O